! HWNF2 (PBE+U, relaxed); values from VASP
! space group	P4/mmm
! energy above the most stable polymorph in this dataset	0.410	eV/atom
! energy	-4.790	eV per atom
! M_tot	1.79	Bohr magnetons per cell
&SYSTEM
  ibrav = 0, nat = 5, ntyp = 4
/
ATOMIC_SPECIES
H 1.01 H.upf
N 14.01 N.upf
W 183.84 W.upf
F 19.00 F.upf
ATOMIC_POSITIONS crystal
H 0.0000 0.0000 0.0000
N 0.0000 0.0000 0.5000
W 0.5000 0.5000 0.5000
F 0.0000 0.5000 0.0000
F 0.5000 0.0000 0.0000
CELL_PARAMETERS angstrom
3.0985 0.0000 0.0000
0.0000 3.0985 0.0000
0.0000 0.0000 4.5849